A plane-wave DFT calculation with GGA+U was carried out for crystalline NaVCO5 at its relaxed geometry.

The structure in extended XYZ format:
```
16
Lattice="5.120 0.114 -0.113 -1.386 4.930 -0.113 -1.688 -2.281 6.285" Properties=species:S:1:pos:R:3 pbc="T T T"
O -0.329 0.632 3.711
O 2.732 -0.133 2.194
O 2.375 2.132 2.348
O -1.769 1.434 5.337
O 3.398 -1.259 4.601
O -1.352 4.023 1.458
O 0.501 1.754 5.490
O 3.815 1.329 0.722
O 1.545 1.010 0.568
O -0.686 2.897 3.865
Na 0.387 2.736 1.458
Na 1.660 0.028 4.601
C -0.611 1.709 4.601
C 2.657 1.055 1.458
V 0.000 0.000 0.000
V -0.844 -1.140 3.143
```

Computed properties:
Space group: C2/c (15)
ρ (Mg/m³): 3.51
Total energy (eV for the cell shown): -109.28